## SmCd (PBE)

Data for a relaxed structure of SmCd.

Cell lengths 6.2865, 6.2865, 6.2865 Å; angles 90.00, 90.00, 90.00 degrees
Closest atoms and distances in Å follow each position.
Positions (direct):
Sm1 0.0000 0.0000 0.0000  6 Cd 3.14
Sm2 0.0000 0.5000 0.5000  6 Cd 3.14
Sm3 0.5000 0.0000 0.5000  6 Cd 3.14
Sm4 0.5000 0.5000 0.0000  6 Cd 3.14
Cd1 0.0000 0.0000 0.5000  6 Sm 3.14
Cd2 0.0000 0.5000 0.0000  6 Sm 3.14
Cd3 0.5000 0.0000 0.0000  6 Sm 3.14
Cd4 0.5000 0.5000 0.5000  6 Sm 3.14

* crystal system: cubic
* formation energy from the elements: 0.018 eV per atom
* SG: Fm-3m, No. 225
* magnetic moment: 0.08 Bohr magnetons per cell


## Hg3P11 (PBE)

Data for a relaxed structure of Hg3P11.

Cell lengths 7.6260, 7.6260, 6.8571 Å; angles 104.14, 104.14, 59.05 degrees
Closest atoms and distances in Å follow each position.
Positions (direct):
Hg1 0.0000 0.0000 0.0000  4 P 3.09-3.24
Hg2 0.2984 0.2984 0.0706  4 P 2.67-2.90
Hg3 0.6424 0.6424 0.1711  2 P 2.46-2.47
P1 0.0382 0.5097 0.5314  3 P 2.19-2.26
P2 0.2008 0.2008 0.3626  2 P 2.19
P3 0.2796 0.5790 0.7379  3 P 2.24-2.25
P4 0.2837 0.7655 0.5336  3 P 2.21-2.27
P5 0.4336 0.9350 0.7661  3 P 2.23-2.27
P6 0.5020 0.5020 0.3418  2 P 2.21, 1 Hg 2.46
P7 0.5097 0.0382 0.5314  3 P 2.19-2.26
P8 0.5790 0.2796 0.7379  3 P 2.24-2.25
P9 0.7483 0.7483 0.9274  2 P 2.23, 1 Hg 2.47
P10 0.7655 0.2837 0.5336  3 P 2.21-2.27
P11 0.9350 0.4336 0.7661  3 P 2.23-2.27

* crystal system: monoclinic
* SG: Cm, No. 8
* uncorrected energy: -4.203 eV/atom


## Na4Al2ZnAg (PBE)

Data for a relaxed structure of Na4Al2ZnAg.

Cell lengths 4.8936, 4.8936, 6.9343 Å; angles 90.00, 90.00, 90.00 degrees
Closest atoms and distances in Å follow each position.
Positions (direct):
Na1 0.0000 0.0000 0.0000  4 Al 3.01, 4 Na 3.01
Na2 0.0000 0.5000 0.7467  4 Na 2.99-3.01, 2 Zn 2.99, 2 Ag 3.01
Na3 0.5000 0.0000 0.2533  4 Na 2.99-3.01, 2 Zn 2.99, 2 Ag 3.01
Na4 0.5000 0.5000 0.5000  4 Na 2.99, 4 Al 2.99
Al1 0.0000 0.5000 0.2531  4 Na 2.99-3.01, 2 Zn 2.99, 2 Ag 3.01
Al2 0.5000 0.0000 0.7469  4 Na 2.99-3.01, 2 Zn 2.99, 2 Ag 3.01
Zn1 0.0000 0.0000 0.5000  4 Na 2.99, 4 Al 2.99
Ag1 0.5000 0.5000 0.0000  4 Al 3.01, 4 Na 3.01

* crystal system: tetragonal
* SG: P-4m2, No. 115
* uncorrected energy: -2.010 eV/atom


## SiSb2Au (PBE)

Data for a relaxed structure of SiSb2Au.

Cell lengths 7.1128, 7.1128, 7.1128 Å; angles 90.00, 90.00, 90.00 degrees
Closest atoms and distances in Å follow each position.
Positions (direct):
Si1 0.0000 0.0000 0.0000  4 Sb 3.08, 4 Au 3.08
Si2 0.0000 0.5000 0.5000  4 Au 3.08, 4 Sb 3.08
Si3 0.5000 0.0000 0.5000  4 Au 3.08, 4 Sb 3.08
Si4 0.5000 0.5000 0.0000  4 Au 3.08, 4 Sb 3.08
Sb1 0.0000 0.0000 0.5000  4 Sb 3.08, 4 Au 3.08
Sb2 0.0000 0.5000 0.0000  4 Sb 3.08, 4 Au 3.08
Sb3 0.2500 0.2500 0.7500  4 Sb 3.08, 4 Si 3.08
Sb4 0.2500 0.7500 0.2500  4 Sb 3.08, 4 Si 3.08
Sb5 0.5000 0.0000 0.0000  4 Sb 3.08, 4 Au 3.08
Sb6 0.5000 0.5000 0.5000  4 Sb 3.08, 4 Au 3.08
Sb7 0.7500 0.2500 0.2500  4 Sb 3.08, 4 Si 3.08
Sb8 0.7500 0.7500 0.7500  4 Sb 3.08, 4 Si 3.08
Au1 0.2500 0.2500 0.2500  4 Sb 3.08, 4 Si 3.08
Au2 0.2500 0.7500 0.7500  4 Sb 3.08, 4 Si 3.08
Au3 0.7500 0.2500 0.7500  4 Sb 3.08, 4 Si 3.08
Au4 0.7500 0.7500 0.2500  4 Sb 3.08, 4 Si 3.08

* crystal system: cubic
* SG: F-43m, No. 216
* uncorrected energy: -3.808 eV/atom